Compound: Rb2MnP2O6
Source: the Alexandria database
Functional: GGA+U
Structure: optimized geometry

Properties
Its space group is R-3m. The volume is 163.6 Å³/cell. The calculation puts the total moment at 5.0 μB per formula unit. The value obtained for the electronic total energy is -6.64 eV per atom. The crystal system is trigonal.

```
Rb2MnP2O6
1.0
5.796 0.000 0.000
2.898 5.019 0.000
2.898 1.673 5.625
Rb Mn P O
2 1 2 6
direct
0.773 0.773 0.680
0.227 0.227 0.320
0.000 0.000 0.000
0.434 0.434 0.698
0.566 0.566 0.302
0.739 0.739 0.227
0.294 0.739 0.227
0.739 0.294 0.227
0.261 0.706 0.773
0.706 0.261 0.773
0.261 0.261 0.773
```